[1]
Entry from Alexandria via LeMat-Bulk: crystalline TaBeW at its relaxed geometry (GGA-PBE).

a b c (Å): 9.254 8.599 4.845
angles (deg): 81.87 66.91 31.22
Positions (direct):
Ta 0.042 0.042 0.208
Ta 0.208 0.208 0.042
Ta 0.792 0.792 0.958
Ta 0.958 0.958 0.792
Be 0.250 0.250 0.500
Be 0.500 0.500 0.250
Be 0.500 0.500 0.750
Be 0.750 0.750 0.500
W 0.205 0.545 0.205
W 0.455 0.795 0.455
W 0.545 0.205 0.545
W 0.795 0.455 0.795

Total energy, eV per atom: -9.66
Polymorph energy (0 for the lowest one), meV/atom: 10
Formation energy from the elements, meV per atom: -147

[2]
Entry from Alexandria via LeMat-Bulk: crystalline CaAlGa at its relaxed geometry (GGA-PBE).

a b c (Å): 4.501 4.501 3.816
angles (deg): 90.00 90.00 120.00
Positions (direct):
Ca 0.000 0.000 0.000
Al 0.333 0.667 0.500
Ga 0.667 0.333 0.500

Total energy, eV per atom: -3.31
Formation energy from the elements, meV per atom: -384

[3]
Entry from Alexandria via LeMat-Bulk: crystalline FePRu2 at its relaxed geometry (GGA-PBE).

a b c (Å): 8.010 8.010 8.010
angles (deg): 19.71 19.71 19.71
Positions (direct):
Fe 0.000 0.000 0.000
P 0.260 0.260 0.260
Ru 0.516 0.516 0.516
Ru 0.755 0.755 0.755

Total energy, eV per atom: -8.10
Formation energy from the elements, meV per atom: 6

[4]
Entry from Alexandria via LeMat-Bulk: crystalline LaYGa2Rh2 at its relaxed geometry (GGA-PBE).

a b c (Å): 4.405 4.405 7.531
angles (deg): 90.00 90.00 120.00
Positions (direct):
La 0.000 0.000 0.000
Y 0.000 0.000 0.500
Ga 0.333 0.667 0.274
Ga 0.667 0.333 0.726
Rh 0.333 0.667 0.725
Rh 0.667 0.333 0.275

Total energy, eV per atom: -6.17
Formation energy from the elements, meV per atom: -810

[5]
Entry from Alexandria via LeMat-Bulk: crystalline SmZr4 at its relaxed geometry (GGA-PBE).

a b c (Å): 5.173 5.173 5.173
angles (deg): 90.00 90.00 90.00
Positions (direct):
Sm 0.000 0.000 0.000
Zr 0.000 0.000 0.500
Zr 0.000 0.500 0.000
Zr 0.500 0.000 0.000
Zr 0.500 0.500 0.500

Total energy, eV per atom: -6.53
Formation energy from the elements, meV per atom: 1252

[6]
Entry from Alexandria via LeMat-Bulk: crystalline MnSb2Mo at its relaxed geometry (GGA-PBE).

a b c (Å): 4.302 5.329 5.329
angles (deg): 39.32 90.00 90.00
Positions (direct):
Mn 0.000 0.000 0.000
Sb 0.000 0.278 0.278
Sb 0.500 0.569 0.569
Mo 0.500 0.856 0.856

Total energy, eV per atom: -6.95
Formation energy without anion corrections, meV/atom: 110
Polymorph energy (0 for the lowest one), meV/atom: 0